This record from the Alexandria database describes an optimized crystal structure of Li4GaSn3. The functional is PBE.

Calculated values
Energy = -3.1342 eV/atom
Symmetry = P4/mmm (123)

The structure in POSCAR format:
```
Li4GaSn3
1.0
3.3556 0.0000 0.0000
0.0000 3.3556 0.0000
0.0000 0.0000 13.6344
Li Ga Sn
4 1 3
Direct
0.0000 0.0000 0.1070 Li
0.0000 0.0000 0.3675 Li
0.0000 0.0000 0.6325 Li
0.0000 0.0000 0.8930 Li
0.5000 0.5000 0.0000 Ga
0.5000 0.5000 0.2346 Sn
0.5000 0.5000 0.5000 Sn
0.5000 0.5000 0.7654 Sn
```